[1]
{
  "formula": "Cu3HgSe",
  "functional": "PBE",
  "state": "relaxed",
  "lattice_angstrom": [[-0.7003, -0.1905, -4.5954], [-3.3491, -3.1648, 0.6416], [-3.1523, 3.4047, 0.3392]],
  "species": ["Cu", "Cu", "Cu", "Hg", "Se"],
  "fractional_positions": [[0.0000, 0.5000, 0.0000], [0.0000, 0.0000, 0.5000], [0.5000, 0.0000, 0.0000], [0.5000, 0.5000, 0.5000], [0.0000, 0.0000, 0.0000]],
  "e_tot_ev_per_atom": -2.86,
  "relative_energy_ev_per_atom": 0.0000,
  "raw_formation_energy_ev_per_atom": 0.357,
  "space_group": "No. 221"
}

[2]
{
  "formula": "CuHg2Se",
  "functional": "PBE",
  "state": "relaxed",
  "lattice_angstrom": [[6.8370, -0.0325, 0.0000], [4.6627, 5.0005, 0.0000], [-5.7498, -2.4840, 2.7413]],
  "species": ["Cu", "Hg", "Hg", "Se"],
  "fractional_positions": [[0.7500, 0.2500, 0.5000], [0.0000, 0.0000, 0.0000], [0.5000, 0.5000, 0.0000], [0.2500, 0.7500, 0.5000]],
  "e_tot_ev_per_atom": -1.79,
  "raw_formation_energy_ev_per_atom": 0.253,
  "space_group": "No. 139"
}

[3]
{
  "formula": "CuHg2Se",
  "functional": "PBE",
  "state": "relaxed",
  "lattice_angstrom": [[2.8563, 0.0000, 0.0000], [0.0000, 3.4968, 0.0000], [0.0000, 0.0000, 8.3699]],
  "species": ["Cu", "Hg", "Hg", "Se"],
  "fractional_positions": [[0.5000, 0.5000, 0.7500], [0.0000, 0.0000, 0.9617], [0.0000, 0.0000, 0.5383], [0.5000, 0.5000, 0.2500]],
  "e_tot_ev_per_atom": -1.78,
  "raw_formation_energy_ev_per_atom": 0.261,
  "space_group": "No. 47"
}

What did the second record say?
{
  "formula": "CuHg2Se",
  "functional": "PBE",
  "state": "relaxed",
  "lattice_angstrom": [[6.8370, -0.0325, 0.0000], [4.6627, 5.0005, 0.0000], [-5.7498, -2.4840, 2.7413]],
  "species": ["Cu", "Hg", "Hg", "Se"],
  "fractional_positions": [[0.7500, 0.2500, 0.5000], [0.0000, 0.0000, 0.0000], [0.5000, 0.5000, 0.0000], [0.2500, 0.7500, 0.5000]],
  "e_tot_ev_per_atom": -1.79,
  "raw_formation_energy_ev_per_atom": 0.253,
  "space_group": "No. 139"
}